Record 1
# Tm3Al8Ni3, relaxed, DFT PBE
# * DOS at the Fermi energy: 5.8 states/eV/f.u.
# * E_form: -7.44 eV per formula unit
# * theoretical density: 6230 kg/m³
data_Tm3Al8Ni3
_chemical_formula_sum 'Tm6 Al16 Ni6'
_space_group_name_H-M_alt 'C 1 2/m 1'
_space_group_IT_number 12
_cell_length_a 15.333
_cell_length_b 4.296
_cell_length_c 8.931
_cell_angle_alpha 90.00
_cell_angle_beta 125.47
_cell_angle_gamma 90.00
loop_
_space_group_symop_operation_xyz
'x,y,z'
'-x,-y,-z'
'-x,y,-z'
'x,-y,z'
'x+1/2,y+1/2,z'
'-x+1/2,-y+1/2,-z'
'-x+1/2,y+1/2,-z'
'x+1/2,-y+1/2,z'
loop_
_atom_site_label
_atom_site_type_symbol
_atom_site_fract_x
_atom_site_fract_y
_atom_site_fract_z
Tm1 Tm 0.000 0.000 0.000
Tm2 Tm 0.217 0.500 0.714
Al1 Al 0.007 0.500 0.672
Al2 Al 0.133 0.000 0.429
Al3 Al 0.149 0.500 0.274
Al4 Al 0.150 0.000 0.867
Ni1 Ni 0.000 0.000 0.500
Ni2 Ni 0.150 0.500 0.003



Record 2
# Tm3Al2Ni7, relaxed, DFT PBE
# * DOS at the Fermi energy: 8.6 states/eV/f.u.
# * E_form: -6.73 eV per formula unit
# * theoretical density: 9054 kg/m³
data_Tm3Al2Ni7
_chemical_formula_sum 'Tm9 Al6 Ni21'
_space_group_name_H-M_alt 'R -3 m'
_space_group_IT_number 166
_space_group_name_Hall '-R 3 2"'
_cell_length_a 5.1204
_cell_length_b 5.1204
_cell_length_c 23.5446
_cell_angle_alpha 90.00
_cell_angle_beta 90.00
_cell_angle_gamma 120.00
loop_
_atom_site_label
_atom_site_type_symbol
_atom_site_fract_x
_atom_site_fract_y
_atom_site_fract_z
Tm1 Tm 0.0000 0.0000 0.0000
Tm2 Tm 0.0000 0.0000 0.1401
Al1 Al 0.0000 0.0000 0.3330
Ni1 Ni 0.0000 0.0000 0.5000
Ni2 Ni 0.0006 0.5003 0.0825



Record 3
# TmAlZn6Ni, relaxed, DFT PBE
# * DOS at the Fermi energy: 4.3 states/eV/f.u.
# * E_form: -0.04 eV per formula unit
# * theoretical density: 6780 kg/m³
data_TmAlZn6Ni
_chemical_formula_sum 'Tm4 Al4 Zn24 Ni4'
_space_group_name_H-M_alt 'I m m a'
_space_group_IT_number 74
_space_group_name_Hall '-I 2b 2'
_cell_length_a 6.776
_cell_length_b 8.677
_cell_length_c 10.781
_cell_angle_alpha 90.00
_cell_angle_beta 90.00
_cell_angle_gamma 90.00
loop_
_atom_site_label
_atom_site_type_symbol
_atom_site_fract_x
_atom_site_fract_y
_atom_site_fract_z
Tm1 Tm 0.000 0.250 0.195
Al1 Al 0.250 0.250 0.750
Zn1 Zn 0.000 0.250 0.508
Zn2 Zn 0.000 0.250 0.924
Zn3 Zn 0.194 0.013 0.376
Ni1 Ni 0.000 0.000 0.000



Record 4
# TmAl2ZnNi4, relaxed, DFT PBE
# * DOS at the Fermi energy: 4.0 states/eV/f.u.
# * E_form: -3.76 eV per formula unit
# * theoretical density: 7625 kg/m³
data_TmAl2ZnNi4
_chemical_formula_sum 'Tm3 Al6 Zn3 Ni12'
_space_group_name_H-M_alt 'R -3 m'
_space_group_IT_number 166
_space_group_name_Hall '-R 3 2"'
_cell_length_a 4.0778
_cell_length_b 4.0778
_cell_length_c 23.7291
_cell_angle_alpha 90.00
_cell_angle_beta 90.00
_cell_angle_gamma 120.00
loop_
_atom_site_label
_atom_site_type_symbol
_atom_site_fract_x
_atom_site_fract_y
_atom_site_fract_z
Tm1 Tm 0.0000 0.0000 0.0000
Al1 Al 0.0000 0.0000 0.2399
Zn1 Zn 0.0000 0.0000 0.5000
Ni1 Ni 0.0000 0.0000 0.1285
Ni2 Ni 0.0000 0.0000 0.4006



Record 5
# TmAl3ZnNi, relaxed, DFT PBE
# * DOS at the Fermi energy: 2.5 states/eV/f.u.
# * E_form: -1.61 eV per formula unit
# * theoretical density: 5927 kg/m³
data_TmAl3ZnNi
_chemical_formula_sum 'Tm4 Al12 Zn4 Ni4'
_space_group_name_H-M_alt 'C m c m'
_space_group_IT_number 63
_space_group_name_Hall '-C 2c 2'
_cell_length_a 5.954
_cell_length_b 12.369
_cell_length_c 5.690
_cell_angle_alpha 90.00
_cell_angle_beta 90.00
_cell_angle_gamma 90.00
loop_
_atom_site_label
_atom_site_type_symbol
_atom_site_fract_x
_atom_site_fract_y
_atom_site_fract_z
Tm1 Tm 0.000 0.213 0.250
Al1 Al 0.000 0.366 0.750
Al2 Al 0.217 0.000 0.000
Zn1 Zn 0.000 0.155 0.750
Ni1 Ni 0.000 0.422 0.250



Record 6
# UAl3Ni2, relaxed, DFT PBE
# * DOS at the Fermi energy: 6.5 states/eV/f.u.
# * E_form: -2.56 eV per formula unit
# * theoretical density: 7697 kg/m³
data_UAl3Ni2
_chemical_formula_sum 'U1 Al3 Ni2'
_space_group_name_H-M_alt 'P 6/m m m'
_space_group_IT_number 191
_space_group_name_Hall '-P 6 2'
_cell_length_a 5.1886
_cell_length_b 5.1886
_cell_length_c 4.0378
_cell_angle_alpha 90.00
_cell_angle_beta 90.00
_cell_angle_gamma 120.00
loop_
_atom_site_label
_atom_site_type_symbol
_atom_site_fract_x
_atom_site_fract_y
_atom_site_fract_z
U1 U 0.0000 0.0000 0.0000
Al1 Al 0.0000 0.5000 0.5000
Ni1 Ni 0.3333 0.6667 0.0000



Record 7
# UAl2Ni9, relaxed, DFT PBE
# * DOS at the Fermi energy: 3.6 states/eV/f.u.
# * E_form: -4.53 eV per formula unit
# * theoretical density: 9323 kg/m³
data_UAl2Ni9
_chemical_formula_sum 'U1 Al2 Ni9'
_space_group_name_H-M_alt 'P 4/m m m'
_space_group_IT_number 123
_space_group_name_Hall '-P 4 2'
_cell_length_a 3.705
_cell_length_b 3.705
_cell_length_c 10.645
_cell_angle_alpha 90.00
_cell_angle_beta 90.00
_cell_angle_gamma 90.00
loop_
_atom_site_label
_atom_site_type_symbol
_atom_site_fract_x
_atom_site_fract_y
_atom_site_fract_z
U1 U 0.000 0.000 0.000
Al1 Al 0.000 0.000 0.345
Ni1 Ni 0.000 0.500 0.175
Ni2 Ni 0.000 0.500 0.500
Ni3 Ni 0.500 0.500 0.000
Ni4 Ni 0.500 0.500 0.340



Record 8
# UAl8Ni2, relaxed, DFT PBE
# * DOS at the Fermi energy: 6.3 states/eV/f.u.
# * E_form: -1.71 eV per formula unit
# * theoretical density: 5039 kg/m³
data_UAl8Ni2
_chemical_formula_sum 'U2 Al16 Ni4'
_space_group_name_H-M_alt 'C 1 2/m 1'
_space_group_IT_number 12
_cell_length_a 8.093
_cell_length_b 10.458
_cell_length_c 4.553
_cell_angle_alpha 90.00
_cell_angle_beta 102.30
_cell_angle_gamma 90.00
loop_
_space_group_symop_operation_xyz
'x,y,z'
'-x,-y,-z'
'-x,y,-z'
'x,-y,z'
'x+1/2,y+1/2,z'
'-x+1/2,-y+1/2,-z'
'-x+1/2,y+1/2,-z'
'x+1/2,-y+1/2,z'
loop_
_atom_site_label
_atom_site_type_symbol
_atom_site_fract_x
_atom_site_fract_y
_atom_site_fract_z
U1 U 0.000 0.000 0.000
Al1 Al 0.000 0.278 0.000
Al2 Al 0.116 0.500 0.787
Al3 Al 0.216 0.130 0.605
Ni1 Ni 0.000 0.298 0.500



Record 9
# UAlNi11, relaxed, DFT PBE
# * DOS at the Fermi energy: 17.9 states/eV/f.u.
# * E_form: -2.42 eV per formula unit
# * theoretical density: 9588 kg/m³
data_UAlNi11
_chemical_formula_sum 'U2 Al2 Ni22'
_space_group_name_H-M_alt 'C 1 2/m 1'
_space_group_IT_number 12
_cell_length_a 4.697
_cell_length_b 11.508
_cell_length_c 6.244
_cell_angle_alpha 90.00
_cell_angle_beta 110.85
_cell_angle_gamma 90.00
loop_
_space_group_symop_operation_xyz
'x,y,z'
'-x,-y,-z'
'-x,y,-z'
'x,-y,z'
'x+1/2,y+1/2,z'
'-x+1/2,-y+1/2,-z'
'-x+1/2,y+1/2,-z'
'x+1/2,-y+1/2,z'
loop_
_atom_site_label
_atom_site_type_symbol
_atom_site_fract_x
_atom_site_fract_y
_atom_site_fract_z
U1 U 0.000 0.000 0.000
Al1 Al 0.000 0.500 0.500
Ni1 Ni 0.000 0.000 0.500
Ni2 Ni 0.107 0.391 0.216
Ni3 Ni 0.164 0.176 0.348
Ni4 Ni 0.250 0.250 0.000



Record 10
# U2AlNi9, relaxed, DFT PBE
# * DOS at the Fermi energy: 16.3 states/eV/f.u.
# * E_form: -2.89 eV per formula unit
# * theoretical density: 10803 kg/m³
data_U2AlNi9
_chemical_formula_sum 'U2 Al1 Ni9'
_space_group_name_H-M_alt 'P 4/m m m'
_space_group_IT_number 123
_space_group_name_Hall '-P 4 2'
_cell_length_a 3.799
_cell_length_b 3.799
_cell_length_c 10.982
_cell_angle_alpha 90.00
_cell_angle_beta 90.00
_cell_angle_gamma 90.00
loop_
_atom_site_label
_atom_site_type_symbol
_atom_site_fract_x
_atom_site_fract_y
_atom_site_fract_z
U1 U 0.000 0.000 0.179
Al1 Al 0.000 0.000 0.500
Ni1 Ni 0.000 0.500 0.000
Ni2 Ni 0.000 0.500 0.346
Ni3 Ni 0.500 0.500 0.174
Ni4 Ni 0.500 0.500 0.500



Record 11
# UAl2Ni, relaxed, DFT PBE
# * DOS at the Fermi energy: 3.9 states/eV/f.u.
# * E_form: -1.52 eV per formula unit
# * theoretical density: 9487 kg/m³
data_UAl2Ni
_chemical_formula_sum 'U1 Al2 Ni1'
_space_group_name_H-M_alt 'P 4/m m m'
_space_group_IT_number 123
_space_group_name_Hall '-P 4 2'
_cell_length_a 2.776
_cell_length_b 2.776
_cell_length_c 7.964
_cell_angle_alpha 90.00
_cell_angle_beta 90.00
_cell_angle_gamma 90.00
loop_
_atom_site_label
_atom_site_type_symbol
_atom_site_fract_x
_atom_site_fract_y
_atom_site_fract_z
U1 U 0.000 0.000 0.000
Al1 Al 0.500 0.500 0.305
Ni1 Ni 0.000 0.000 0.500